Crystalline GaIrS2 at its relaxed geometry. Source: Alexandria, functional GGA-PBE.

The structure belongs to space group I-42d (No. 122); the cell edges are 5.4703, 5.4703 and 10.7818 Å and the angles 90.00°, 90.00° and 90.00°. The asymmetric unit holds Ga at (0.0000, 0.0000, 0.0000), Ir at (0.0000, 0.0000, 0.5000) and S at (0.2299, 0.2500, 0.6250).

The density of states at the Fermi level comes out at 0.4954 states/eV/atom. The uncorrected formation energy is -0.112 eV per atom. The uncorrected energy comes out at -5.148 eV/atom. The value obtained for the volume is 20.16 Å³ per atom.

---

Crystalline Na3ReNi3S8 at its relaxed geometry. Source: Alexandria, functional GGA-PBE.

The structure belongs to space group C2/m (No. 12); the cell edges are 12.1125, 7.0048 and 7.6309 Å and the angles 90.00°, 121.90° and 90.00°. The asymmetric unit holds Na at (0.0000, 0.0000, 0.0000), Na at (0.2500, 0.2500, 0.0000), Re at (0.0000, 0.0000, 0.5000), Ni at (0.0000, 0.5000, 0.5000), Ni at (0.2500, 0.2500, 0.5000), S at (0.0211, 0.2535, 0.3114), S at (0.2259, 0.5000, 0.6759) and S at (0.2310, 0.0000, 0.6896).

The density of states at the Fermi level comes out at 0.4965 states/eV/atom. The uncorrected formation energy is -0.486 eV per atom. The uncorrected energy comes out at -4.938 eV/atom. The value obtained for the volume is 18.32 Å³ per atom.

---

Crystalline Ac3SbAs2 at its relaxed geometry. Source: Alexandria, functional GGA-PBE.

The structure belongs to space group Immm (No. 71); the cell edges are 4.6236, 6.5726 and 13.9203 Å and the angles 90.00°, 90.00° and 90.00°. The asymmetric unit holds Ac at (0.0000, 0.0000, 0.0000), Ac at (0.0000, 0.0000, 0.3244), Sb at (0.0000, 0.5000, 0.0000) and As at (0.0000, 0.5000, 0.3349).

The density of states at the Fermi level comes out at 0.0932 states/eV/atom. The uncorrected formation energy is -1.377 eV per atom. The uncorrected energy comes out at -5.668 eV/atom. The value obtained for the volume is 35.25 Å³ per atom.

---

Crystalline Al2FeHRu at its relaxed geometry. Source: Alexandria, functional GGA-PBE.

The structure belongs to space group P4/mmm (No. 123); the cell edges are 4.1499, 4.1499 and 3.1333 Å and the angles 90.00°, 90.00° and 90.00°. The asymmetric unit holds Al at (0.0000, 0.5000, 0.0000), Fe at (0.0000, 0.0000, 0.5000), H at (0.0000, 0.0000, 0.0000) and Ru at (0.5000, 0.5000, 0.5000).

The density of states at the Fermi level comes out at 0.5876 states/eV/atom. The uncorrected energy comes out at -6.070 eV/atom. The value obtained for the volume is 10.79 Å³ per atom.

---

Crystalline Mo2PSe at its relaxed geometry. Source: Alexandria, functional GGA-PBE.

The structure belongs to space group Fm-3m (No. 225); the cell edges are 6.1597, 6.1597 and 6.1597 Å and the angles 90.00°, 90.00° and 90.00°. The asymmetric unit holds Mo at (0.2500, 0.2500, 0.2500), P at (0.0000, 0.0000, 0.0000) and Se at (0.0000, 0.0000, 0.5000).

The density of states at the Fermi level comes out at 0.9622 states/eV/atom. The uncorrected formation energy is -0.087 eV per atom. The uncorrected energy comes out at -7.726 eV/atom. Its energy relative to the lowest polymorph listed for this composition is 0.194 eV/atom. The value obtained for the volume is 14.61 Å³ per atom.

---

Crystalline BaSr2Sb at its relaxed geometry. Source: Alexandria, functional GGA-PBE.

The structure belongs to space group R3m (No. 160, hexagonal axes); the cell edges are 5.4081, 5.4081 and 23.2765 Å and the angles 90.00°, 90.00° and 120.00°. The asymmetric unit holds Ba at (0.0000, 0.0000, 0.0000), Sr at (0.0000, 0.0000, 0.2257), Sr at (0.0000, 0.0000, 0.4520) and Sb at (0.0000, 0.0000, 0.8392).

The density of states at the Fermi level comes out at 0.6896 states/eV/atom. The uncorrected formation energy is -0.454 eV per atom. The uncorrected energy comes out at -2.806 eV/atom. The value obtained for the volume is 49.13 Å³ per atom.

---

Crystalline Tl3SbO at its relaxed geometry. Source: Alexandria, functional GGA-PBE.

The structure belongs to space group Pm-3m (No. 221); the cell edges are 5.8984, 5.8984 and 5.8984 Å and the angles 90.00°, 90.00° and 90.00°. The asymmetric unit holds Tl at (0.0000, 0.0000, 0.5000), Sb at (0.0000, 0.0000, 0.0000) and O at (0.5000, 0.5000, 0.5000).

The density of states at the Fermi level comes out at 1.0053 states/eV/atom. The uncorrected formation energy is 0.694 eV per atom. The uncorrected energy comes out at -2.542 eV/atom. Its energy relative to the lowest polymorph listed for this composition is 0.798 eV/atom. The value obtained for the volume is 41.04 Å³ per atom.

---

Crystalline La2BiPb2 at its relaxed geometry. Source: Alexandria, functional GGA-PBE.

The structure belongs to space group I4/mmm (No. 139); the cell edges are 6.3318, 6.3318 and 9.3257 Å and the angles 90.00°, 90.00° and 90.00°. The asymmetric unit holds La at (0.0000, 0.5000, 0.2500), Bi at (0.0000, 0.0000, 0.0000) and Pb at (0.0000, 0.0000, 0.3371).

The density of states at the Fermi level comes out at 1.3977 states/eV/atom. The uncorrected energy comes out at -4.451 eV/atom. As for the formation energy from the elements: -220.4 meV/atom. Its energy relative to the lowest polymorph listed for this composition is 0.355 eV/atom. The value obtained for the volume is 37.39 Å³ per atom.

---

Crystalline SrTmPtRh at its relaxed geometry. Source: Alexandria, functional GGA-PBE.

The structure belongs to space group F-43m (No. 216); the cell edges are 7.0293, 7.0293 and 7.0293 Å and the angles 90.00°, 90.00° and 90.00°. The asymmetric unit holds Sr at (0.0000, 0.0000, 0.0000), Tm at (0.0000, 0.0000, 0.5000), Pt at (0.2500, 0.2500, 0.7500) and Rh at (0.2500, 0.2500, 0.2500).

The density of states at the Fermi level comes out at 0.5718 states/eV/atom. The uncorrected energy comes out at -5.567 eV/atom. As for the formation energy from the elements: -680.2 meV/atom. The value obtained for the volume is 21.71 Å³ per atom.

---

Crystalline RbSr2P2 at its relaxed geometry. Source: Alexandria, functional GGA-PBE.

The structure belongs to space group I4/mmm (No. 139); the cell edges are 5.7416, 5.7416 and 12.0623 Å and the angles 90.00°, 90.00° and 90.00°. The asymmetric unit holds Rb at (0.0000, 0.0000, 0.0000), Sr at (0.0000, 0.0000, 0.3107) and P at (0.0000, 0.5000, 0.2500).

The density of states at the Fermi level comes out at 0.5192 states/eV/atom. The uncorrected energy comes out at -3.524 eV/atom. As for the formation energy from the elements: -494.2 meV/atom. Its energy relative to the lowest polymorph listed for this composition is 0.172 eV/atom. The value obtained for the volume is 39.76 Å³ per atom.

---

Crystalline HfP2SO at its relaxed geometry. Source: Alexandria, functional GGA-PBE.

The structure belongs to space group P4/mmm (No. 123); the cell edges are 3.7541, 3.7541 and 5.4216 Å and the angles 90.00°, 90.00° and 90.00°. The asymmetric unit holds Hf at (0.0000, 0.0000, 0.0000), P at (0.0000, 0.5000, 0.5000), S at (0.5000, 0.5000, 0.0000) and O at (0.5000, 0.5000, 0.5000).

The density of states at the Fermi level comes out at 0.6200 states/eV/atom. The uncorrected formation energy is -0.156 eV per atom. The uncorrected energy comes out at -6.128 eV/atom. Its energy relative to the lowest polymorph listed for this composition is 0.032 eV/atom. The value obtained for the volume is 15.28 Å³ per atom.

---

Crystalline KAcTe at its relaxed geometry. Source: Alexandria, functional GGA-PBE.

The structure belongs to space group I4mm (No. 107); the cell edges are 4.1821, 4.1821 and 15.7256 Å and the angles 90.00°, 90.00° and 90.00°. The asymmetric unit holds K at (0.0000, 0.0000, 0.0000), Ac at (0.0000, 0.0000, 0.2638) and Te at (0.0000, 0.0000, 0.6616).

The density of states at the Fermi level comes out at 0.7161 states/eV/atom. The uncorrected formation energy is -0.763 eV per atom. The uncorrected energy comes out at -3.545 eV/atom. Its energy relative to the lowest polymorph listed for this composition is 0.052 eV/atom. The value obtained for the volume is 45.84 Å³ per atom.

---

Among the records above, which one has the highest uncorrected energy?
Tl3SbO